1.
# AlAs2Ir (GGA-PBE, relaxed)
# E: -67.27 eV for the cell shown
# DOS at the Fermi energy: 2.9 states/eV/f.u.
# ΔE_f: -130 meV/atom
# Density: 8.23 g/cm³
data_AlAs2Ir
_chemical_formula_sum 'Al3 As6 Ir3'
_symmetry_space_group_name_H-M 'R 3 m'
_symmetry_Int_Tables_number 160
_symmetry_space_group_name_Hall 'R 3 -2"'
_cell_length_a 3.0048
_cell_length_b 3.0048
_cell_length_c 28.5746
_cell_angle_alpha 90.00
_cell_angle_beta 90.00
_cell_angle_gamma 120.00
loop_
_atom_site_label
_atom_site_type_symbol
_atom_site_fract_x
_atom_site_fract_y
_atom_site_fract_z
_atom_site_occupancy
Al1 Al 0.0000 0.0000 0.0000 1
As1 As 0.0000 0.0000 0.5319 1
As2 As 0.0000 0.0000 0.7383 1
Ir1 Ir 0.0000 0.0000 0.2637 1


2.
# ScAu4 (GGA-PBE, relaxed)
# E: -37.86 eV for the cell shown
# DOS at the Fermi energy: 3.3 states/eV/f.u.
# ΔE_f: 103 meV/atom
# Density: 11.77 g/cm³
data_ScAu4
_chemical_formula_sum 'Sc2 Au8'
_symmetry_space_group_name_H-M 'I m -3 m'
_symmetry_Int_Tables_number 229
_symmetry_space_group_name_Hall '-I 4 2 3'
_cell_length_a 6.171
_cell_length_b 6.171
_cell_length_c 6.171
_cell_angle_alpha 90.00
_cell_angle_beta 90.00
_cell_angle_gamma 90.00
loop_
_atom_site_label
_atom_site_type_symbol
_atom_site_fract_x
_atom_site_fract_y
_atom_site_fract_z
_atom_site_occupancy
Sc1 Sc 0.000 0.000 0.000 1
Au1 Au 0.250 0.250 0.250 1


3.
# Y2Tl3SnS6 (GGA-PBE, relaxed)
# E: -124.08 eV for the cell shown
# DOS at the Fermi energy: 4.0 states/eV/f.u.
# E_form (uncorrected): -1.10 eV/atom
# Density: 5.79 g/cm³
data_Y2Tl3SnS6
_chemical_formula_sum 'Y4 Tl6 Sn2 S12'
_symmetry_space_group_name_H-M 'C 1 2/m 1'
_symmetry_Int_Tables_number 12
_symmetry_space_group_name_Hall '-C 2y'
_cell_length_a 6.988
_cell_length_b 12.115
_cell_length_c 7.818
_cell_angle_alpha 90.00
_cell_angle_beta 107.24
_cell_angle_gamma 90.00
loop_
_atom_site_label
_atom_site_type_symbol
_atom_site_fract_x
_atom_site_fract_y
_atom_site_fract_z
_atom_site_occupancy
Y1 Y 0.000 0.167 0.000 1
Tl1 Tl 0.000 0.000 0.500 1
Tl2 Tl 0.000 0.330 0.500 1
Sn1 Sn 0.000 0.500 0.000 1
S1 S 0.231 0.334 0.198 1
S2 S 0.235 0.000 0.200 1